The following is a PBE calculation of a relaxed structure of Sc2CrFe, from Alexandria.

## Properties
Energy relative to the elements = 0.127 eV/atom
SG = P4/mmm
Relative energy among the computed polymorphs = 55 meV per atom
N(E_F) = 4.32 states/eV/cell

POSCAR file:
```
Sc2CrFe
1.0
3.2155 0.0000 0.0000
0.0000 3.2155 0.0000
0.0000 0.0000 6.4690
Sc Cr Fe
2 1 1
Direct
0.0000 0.0000 0.2293
0.0000 0.0000 0.7707
0.5000 0.5000 0.5000
0.5000 0.5000 0.0000
```